VASP calculation (PBE-GGA) on crystalline Ca2TiVP at its relaxed geometry. Values from VASP.

The structure in Quantum ESPRESSO input format:
```
&SYSTEM
  ibrav = 0, nat = 5, ntyp = 4
/
ATOMIC_SPECIES
V 50.94 V.upf
Ti 47.87 Ti.upf
P 30.97 P.upf
Ca 40.08 Ca.upf
CELL_PARAMETERS angstrom
5.384 0.000 0.000
0.000 4.690 0.000
0.000 0.000 5.384
ATOMIC_POSITIONS angstrom
V 2.692 2.345 2.692
Ti 0.000 2.345 0.000
P 0.000 0.000 0.000
Ca 0.000 0.000 2.692
Ca 2.692 0.000 0.000
```

=====

VASP calculation (PBE-GGA) on crystalline CaYTiP2 at its relaxed geometry. Values from VASP.

The structure in Quantum ESPRESSO input format:
```
&SYSTEM
  ibrav = 0, nat = 5, ntyp = 4
/
ATOMIC_SPECIES
Y 88.91 Y.upf
P 30.97 P.upf
Ti 47.87 Ti.upf
Ca 40.08 Ca.upf
CELL_PARAMETERS angstrom
-0.661 4.729 -0.920
-4.134 -0.953 -1.931
-2.148 0.542 4.329
ATOMIC_POSITIONS angstrom
Y -3.471 2.159 0.739
P -1.074 0.271 2.165
P -0.330 2.365 -0.460
Ti 0.000 0.000 0.000
Ca -2.067 -0.477 -0.966
```

=====

VASP calculation (PBE-GGA) on crystalline CaTl2P2 at its relaxed geometry. Values from VASP.

Calculated values
**Energy above the lowest structure with this stoichiometry**: 0 meV/atom

The structure in Quantum ESPRESSO input format:
```
&SYSTEM
  ibrav = 0, nat = 10, ntyp = 3
/
ATOMIC_SPECIES
Ca 40.08 Ca.upf
P 30.97 P.upf
Tl 204.38 Tl.upf
CELL_PARAMETERS angstrom
-1.413 0.401 7.041
5.951 -3.785 1.410
2.630 4.242 0.286
ATOMIC_POSITIONS angstrom
Ca 2.269 -1.692 4.225
Ca 0.000 0.000 0.000
P -0.220 -0.163 4.427
P 2.353 -1.941 7.141
P 4.757 -3.221 4.023
P 2.185 -1.443 1.309
Tl 1.913 1.580 2.666
Tl 2.073 1.229 6.392
Tl 5.095 -0.371 2.346
Tl 5.255 -0.722 6.071
```

=====

VASP calculation (PBE-GGA) on crystalline CaTlP2 at its relaxed geometry. Values from VASP.

Calculated values
**Energy above the lowest structure with this stoichiometry**: 338 meV/atom

The structure in Quantum ESPRESSO input format:
```
&SYSTEM
  ibrav = 0, nat = 4, ntyp = 3
/
ATOMIC_SPECIES
P 30.97 P.upf
Ca 40.08 Ca.upf
Tl 204.38 Tl.upf
CELL_PARAMETERS angstrom
-3.175 0.398 -5.085
-1.862 -4.836 -3.040
0.071 2.201 5.590
ATOMIC_POSITIONS angstrom
P 0.000 0.000 0.000
P -2.155 -2.427 -0.756
Ca -2.812 0.190 -1.779
Tl -2.518 -2.219 -4.062
```

=====

VASP calculation (PBE-GGA) on crystalline CaTlP2 at its relaxed geometry. Values from VASP.

Calculated values
**Energy above the lowest structure with this stoichiometry**: 315 meV/atom

The structure in Quantum ESPRESSO input format:
```
&SYSTEM
  ibrav = 0, nat = 4, ntyp = 3
/
ATOMIC_SPECIES
Tl 204.38 Tl.upf
P 30.97 P.upf
Ca 40.08 Ca.upf
CELL_PARAMETERS angstrom
-0.860 2.441 -6.751
2.706 0.616 -6.677
-0.646 -1.550 -7.033
ATOMIC_POSITIONS angstrom
Tl 0.300 0.377 -5.115
P 0.607 0.762 -10.346
P 1.193 1.499 -20.345
Ca 0.900 1.130 -15.345
```

=====

VASP calculation (PBE-GGA) on crystalline CaTlP2 at its relaxed geometry. Values from VASP.

Calculated values
**Energy above the lowest structure with this stoichiometry**: 0 meV/atom

The structure in Quantum ESPRESSO input format:
```
&SYSTEM
  ibrav = 0, nat = 4, ntyp = 3
/
ATOMIC_SPECIES
Ca 40.08 Ca.upf
P 30.97 P.upf
Tl 204.38 Tl.upf
CELL_PARAMETERS angstrom
-0.439 3.778 -0.899
-2.267 -0.984 -3.028
-5.252 0.302 3.834
ATOMIC_POSITIONS angstrom
Ca -5.292 1.623 0.912
P -3.061 0.176 2.235
P -4.816 0.277 3.517
Tl -2.666 1.472 -1.005
```

=====

VASP calculation (PBE-GGA) on crystalline CaTlP2 at its relaxed geometry. Values from VASP.

Calculated values
**Energy above the lowest structure with this stoichiometry**: 550 meV/atom

The structure in Quantum ESPRESSO input format:
```
&SYSTEM
  ibrav = 0, nat = 4, ntyp = 3
/
ATOMIC_SPECIES
Tl 204.38 Tl.upf
P 30.97 P.upf
Ca 40.08 Ca.upf
CELL_PARAMETERS angstrom
5.015 0.000 0.000
2.508 4.343 0.000
2.508 1.448 4.095
ATOMIC_POSITIONS angstrom
Tl 2.508 1.448 1.024
P 7.523 4.343 3.071
P 0.000 0.000 0.000
Ca 5.015 2.895 2.047
```

=====

VASP calculation (PBE-GGA) on crystalline CaTlP2 at its relaxed geometry. Values from VASP.

Calculated values
**Energy above the lowest structure with this stoichiometry**: 295 meV/atom

The structure in Quantum ESPRESSO input format:
```
&SYSTEM
  ibrav = 0, nat = 4, ntyp = 3
/
ATOMIC_SPECIES
P 30.97 P.upf
Ca 40.08 Ca.upf
Tl 204.38 Tl.upf
CELL_PARAMETERS angstrom
6.427 -0.007 -0.005
4.967 4.079 -0.005
4.967 1.775 3.672
ATOMIC_POSITIONS angstrom
P 4.813 1.720 1.078
P 15.713 5.615 3.518
Ca 11.767 4.205 2.635
Tl 8.608 3.076 1.927
```

=====

VASP calculation (PBE-GGA) on crystalline CaTlP2 at its relaxed geometry. Values from VASP.

Calculated values
**Energy above the lowest structure with this stoichiometry**: 443 meV/atom

The structure in Quantum ESPRESSO input format:
```
&SYSTEM
  ibrav = 0, nat = 4, ntyp = 3
/
ATOMIC_SPECIES
Tl 204.38 Tl.upf
Ca 40.08 Ca.upf
P 30.97 P.upf
CELL_PARAMETERS angstrom
0.000 3.556 3.556
3.556 0.000 3.556
3.556 3.556 0.000
ATOMIC_POSITIONS angstrom
Tl 3.556 3.556 3.556
Ca 0.000 0.000 0.000
P 1.778 1.778 1.778
P 5.334 5.334 5.334
```

=====

VASP calculation (PBE-GGA) on crystalline Ca4Tl2P at its relaxed geometry. Values from VASP.

The structure in Quantum ESPRESSO input format:
```
&SYSTEM
  ibrav = 0, nat = 7, ntyp = 3
/
ATOMIC_SPECIES
P 30.97 P.upf
Ca 40.08 Ca.upf
Tl 204.38 Tl.upf
CELL_PARAMETERS angstrom
-1.430 4.385 2.842
-5.187 -1.544 -0.227
-2.373 -2.735 8.189
ATOMIC_POSITIONS angstrom
P 0.000 0.000 0.000
Ca -0.715 2.192 1.421
Ca -6.288 1.379 5.035
Ca -2.594 -0.772 -0.114
Ca -2.702 -1.273 5.768
Tl -5.918 -0.263 7.755
Tl -3.072 0.369 3.048
```

=====

VASP calculation (PBE-GGA) on crystalline CaTlP2 at its relaxed geometry. Values from VASP.

Calculated values
**Energy above the lowest structure with this stoichiometry**: 376 meV/atom

The structure in Quantum ESPRESSO input format:
```
&SYSTEM
  ibrav = 0, nat = 4, ntyp = 3
/
ATOMIC_SPECIES
P 30.97 P.upf
Ca 40.08 Ca.upf
Tl 204.38 Tl.upf
CELL_PARAMETERS angstrom
3.491 0.000 0.000
0.000 3.491 0.000
0.000 0.000 7.256
ATOMIC_POSITIONS angstrom
P 1.746 1.746 1.199
P 0.000 0.000 0.497
Ca 1.746 1.746 5.746
Tl 0.000 0.000 3.441
```

=====

VASP calculation (PBE-GGA) on crystalline CaTl2P2 at its relaxed geometry. Values from VASP.

Calculated values
**Energy above the lowest structure with this stoichiometry**: 287 meV/atom

The structure in Quantum ESPRESSO input format:
```
&SYSTEM
  ibrav = 0, nat = 5, ntyp = 3
/
ATOMIC_SPECIES
Ca 40.08 Ca.upf
P 30.97 P.upf
Tl 204.38 Tl.upf
CELL_PARAMETERS angstrom
5.221 0.000 0.000
0.000 5.221 0.000
2.611 2.611 4.737
ATOMIC_POSITIONS angstrom
Ca 0.000 0.000 0.000
P 2.611 5.221 2.369
P 5.221 2.611 2.369
Tl 2.611 2.611 1.422
Tl 5.221 5.221 3.315
```

=====

Total DFT energy (no corrections) (eV/atom)
-4.81 -5.46 -3.78 -3.89 -3.91 -4.23 -3.68 -3.93 -3.79 -3.05 -3.85 -3.49
Total moment (μB per cell)
0.9 0.0 0.0 0.0 0.0 0.0 0.0 0.0 0.0 0.0 0.0 0.0
ΔH_f (0 K) (eV/atom)
0.48 -0.03 -0.27 -0.09 -0.12 -0.43 0.12 -0.14 0.01 -0.46 -0.06 0.02